1.
{"formula": "Sb3TeS6", "functional": "PBE-GGA", "state": "optimized geometry", "cell": [[4.124, 0.000, 0.000], [0.000, 12.330, 0.393], [0.000, -3.733, 11.360]], "species": ["S", "S", "S", "S", "S", "S", "S", "S", "S", "S", "S", "S", "Sb", "Sb", "Sb", "Sb", "Sb", "Sb", "Te", "Te"], "fractional_positions": [[0.750, 0.387, 0.041], [0.250, 0.184, 0.244], [0.250, 0.067, 0.913], [0.250, 0.313, 0.757], [0.750, 0.687, 0.243], [0.750, 0.933, 0.087], [0.750, 0.497, 0.622], [0.250, 0.503, 0.378], [0.250, 0.883, 0.537], [0.750, 0.816, 0.756], [0.250, 0.613, 0.959], [0.750, 0.117, 0.463], [0.250, 0.869, 0.927], [0.750, 0.459, 0.861], [0.750, 0.131, 0.073], [0.250, 0.541, 0.139], [0.750, 0.633, 0.429], [0.250, 0.367, 0.571], [0.750, 0.955, 0.648], [0.250, 0.045, 0.352]], "energy_ev_per_atom": -4.136, "spacegroup": "No. 11"}

***

2.
{"formula": "MnCdHg2", "functional": "PBE-GGA", "state": "optimized geometry", "cell": [[5.002, 0.021, 0.000], [-0.871, 4.925, 0.000], [0.000, 0.000, 3.359]], "species": ["Mn", "Hg", "Hg", "Cd"], "fractional_positions": [[0.500, 0.000, 0.500], [0.500, 0.500, 0.000], [0.000, 0.000, 0.000], [0.000, 0.500, 0.500]], "energy_ev_per_atom": -2.427, "spacegroup": "No. 65", "delta_e_f_ev_per_fu": 0.98}

***

3.
{"formula": "TmTiGaCo", "functional": "PBE-GGA", "state": "optimized geometry", "cell": [[4.616, 0.000, 0.000], [2.308, 3.998, 0.000], [2.308, 1.333, 3.769]], "species": ["Ga", "Co", "Ti", "Tm"], "fractional_positions": [[0.000, 0.000, 0.000], [0.500, 0.500, 0.500], [0.250, 0.250, 0.250], [0.750, 0.750, 0.750]], "energy_ev_per_atom": -5.872, "spacegroup": "No. 216", "delta_e_f_ev_per_fu": -0.99}

***

4.
{"formula": "TiTl2In", "functional": "PBE-GGA", "state": "optimized geometry", "cell": [[3.246, 0.000, 0.000], [1.623, 2.811, 0.000], [1.623, 0.937, 11.684]], "species": ["Tl", "Tl", "In", "Ti"], "fractional_positions": [[0.082, 0.082, 0.754], [0.918, 0.918, 0.246], [0.500, 0.500, 0.500], [0.000, 0.000, 0.000]], "energy_ev_per_atom": -3.435, "spacegroup": "No. 166", "e_above_lowest_polymorph_mev_per_atom": 22.6, "delta_e_f_ev_per_fu": 1.62}

***

Summary of calculated density in g/cm³
3.90; 11.40; 8.25; 8.90
(order as listed above)